No. 1
Density functional theory data (PBE) for a geometry-optimized AcLa6Tb4 structure.

Structure (POSCAR):
```
AcLa6Tb4
1.0
-3.355 3.355 8.822
3.355 -3.355 8.822
3.355 3.355 -8.822
Ac La Tb
1 6 4
direct
0.000 0.000 0.000
0.000 0.500 0.500
0.194 0.544 0.000
0.456 0.456 0.650
0.500 0.000 0.500
0.544 0.194 0.000
0.806 0.806 0.350
0.004 0.004 0.372
0.368 0.996 0.000
0.632 0.632 0.628
0.996 0.368 0.000
```

Properties
The magnetic moment is 0.00 Bohr magnetons per cell. The calculation puts the calculated total energy at -49.049 eV/f.u. Its symmetry is I-42m, No. 121. As for the crystal system: tetragonal.


No. 2
Density functional theory data (PBE) for a geometry-optimized Ac2LaTb structure.

Structure (POSCAR):
```
Ac2LaTb
1.0
0.000 4.307 4.307
4.307 0.000 4.307
4.307 4.307 0.000
Ac La Tb
2 1 1
direct
0.250 0.250 0.250
0.750 0.750 0.750
0.000 0.000 0.000
0.500 0.500 0.500
```

Properties
The magnetic moment is 0.01 Bohr magnetons per cell. The calculation puts the calculated total energy at -17.240 eV/f.u. Its symmetry is Fm-3m, No. 225. The polymorph energy (0 for the lowest one) is 0.1055 eV/atom. As for the crystal system: cubic.


No. 3
Density functional theory data (PBE) for a geometry-optimized AcLa2Tb6 structure.

Structure (POSCAR):
```
AcLa2Tb6
1.0
6.244 0.000 0.000
0.000 6.244 0.000
0.000 0.000 18.056
Ac La Tb
2 4 12
direct
0.000 0.000 0.000
0.500 0.500 0.500
0.000 0.000 0.353
0.000 0.000 0.647
0.500 0.500 0.147
0.500 0.500 0.853
0.167 0.167 0.500
0.178 0.178 0.188
0.178 0.178 0.812
0.322 0.678 0.312
0.322 0.678 0.688
0.333 0.667 0.000
0.667 0.333 0.000
0.678 0.322 0.312
0.678 0.322 0.688
0.822 0.822 0.188
0.822 0.822 0.812
0.833 0.833 0.500
```

Properties
The magnetic moment is 0.00 Bohr magnetons per cell. The calculation puts the calculated total energy at -33.825 eV/f.u. Its symmetry is P4_2/mnm, No. 136. The polymorph energy (0 for the lowest one) is 0.8113 eV/atom. As for the crystal system: tetragonal.


No. 4
Density functional theory data (PBE) for a geometry-optimized Ac6LaTb structure.

Structure (POSCAR):
```
Ac6LaTb
1.0
8.690 -3.214 0.000
8.690 3.214 0.000
-2.471 0.000 6.117
Ac La Tb
6 1 1
direct
0.122 0.122 0.084
0.253 0.253 0.700
0.377 0.377 0.331
0.623 0.623 0.669
0.747 0.747 0.300
0.878 0.878 0.916
0.000 0.000 0.500
0.500 0.500 0.000
```

Properties
The magnetic moment is 0.00 Bohr magnetons per cell. The calculation puts the calculated total energy at -33.359 eV/f.u. Its symmetry is C2/m, No. 12. The polymorph energy (0 for the lowest one) is 0.0793 eV/atom. As for the crystal system: monoclinic.


No. 5
Density functional theory data (PBE) for a geometry-optimized AcLa2Tb12 structure.

Structure (POSCAR):
```
AcLa2Tb12
1.0
3.615 0.000 0.000
0.000 5.682 0.000
-1.785 0.000 24.780
Ac La Tb
1 2 12
direct
0.000 0.000 0.000
0.359 0.000 0.723
0.641 0.000 0.277
0.074 0.000 0.140
0.105 0.500 0.203
0.169 0.500 0.333
0.214 0.000 0.430
0.278 0.500 0.554
0.457 0.500 0.922
0.543 0.500 0.078
0.722 0.500 0.446
0.786 0.000 0.570
0.831 0.500 0.667
0.895 0.500 0.797
0.926 0.000 0.860
```

Properties
The magnetic moment is 0.00 Bohr magnetons per cell. The calculation puts the calculated total energy at -67.960 eV/f.u. Its symmetry is P2/m, No. 10. As for the crystal system: monoclinic.


No. 6
Density functional theory data (PBE) for a geometry-optimized Ac6LaTb structure.

Structure (POSCAR):
```
Ac6LaTb
1.0
5.525 0.000 0.000
0.000 5.525 0.000
0.000 0.000 11.065
Ac La Tb
6 1 1
direct
0.000 0.000 0.000
0.000 0.000 0.500
0.000 0.500 0.247
0.000 0.500 0.753
0.500 0.000 0.247
0.500 0.000 0.753
0.500 0.500 0.500
0.500 0.500 0.000
```

Properties
The magnetic moment is 0.00 Bohr magnetons per cell. The calculation puts the calculated total energy at -33.994 eV/f.u. Its symmetry is P4/mmm, No. 123. The polymorph energy (0 for the lowest one) is 0.0000 eV/atom. As for the crystal system: tetragonal.


No. 7
Density functional theory data (PBE) for a geometry-optimized Ac3La5Tb3 structure.

Structure (POSCAR):
```
Ac3La5Tb3
1.0
9.604 0.000 0.000
-4.802 8.318 0.000
0.000 0.000 6.155
Ac La Tb
3 5 3
direct
0.000 0.647 0.000
0.353 0.353 0.000
0.647 0.000 0.000
0.000 0.389 0.500
0.333 0.667 0.500
0.389 0.000 0.500
0.611 0.611 0.500
0.667 0.333 0.500
0.000 0.781 0.500
0.219 0.219 0.500
0.781 0.000 0.500
```

Properties
The magnetic moment is 0.00 Bohr magnetons per cell. The calculation puts the calculated total energy at -43.785 eV/f.u. Its symmetry is P-62m, No. 189. As for the crystal system: hexagonal.


No. 8
Density functional theory data (PBE) for a geometry-optimized Ac6LaTb5 structure.

Structure (POSCAR):
```
Ac6LaTb5
1.0
-2.735 5.165 8.176
2.735 -5.165 8.176
2.735 5.165 -8.176
Ac La Tb
6 1 5
direct
0.081 0.333 0.748
0.245 0.000 0.245
0.415 0.667 0.748
0.585 0.333 0.252
0.755 0.000 0.755
0.919 0.667 0.252
0.500 0.500 0.000
0.000 0.500 0.500
0.169 0.169 0.000
0.333 0.833 0.500
0.667 0.167 0.500
0.831 0.831 0.000
```

Properties
The magnetic moment is 0.00 Bohr magnetons per cell. The calculation puts the calculated total energy at -52.214 eV/f.u. Its symmetry is Immm, No. 71. As for the crystal system: orthorhombic.


No. 9
Density functional theory data (PBE) for a geometry-optimized Ac6La2Tb structure.

Structure (POSCAR):
```
Ac6La2Tb
1.0
6.343 -3.844 0.000
6.343 3.844 0.000
-1.383 0.000 7.911
Ac La Tb
6 2 1
direct
0.131 0.646 0.652
0.156 0.156 0.862
0.354 0.869 0.348
0.646 0.131 0.652
0.844 0.844 0.138
0.869 0.354 0.348
0.349 0.349 0.266
0.651 0.651 0.734
0.500 0.500 0.000
```

Properties
The magnetic moment is 0.00 Bohr magnetons per cell. The calculation puts the calculated total energy at -37.450 eV/f.u. Its symmetry is C2/m, No. 12. The polymorph energy (0 for the lowest one) is 0.1102 eV/atom. As for the crystal system: monoclinic.


No. 10
Density functional theory data (PBE) for a geometry-optimized Ac4LaTb structure.

Structure (POSCAR):
```
Ac4LaTb
1.0
-3.146 12.100 3.301
3.146 -12.100 3.301
3.146 12.100 -3.301
Ac La Tb
8 2 2
direct
0.103 0.432 0.671
0.138 0.052 0.086
0.261 0.432 0.829
0.466 0.052 0.414
0.534 0.948 0.586
0.739 0.568 0.171
0.862 0.948 0.914
0.897 0.568 0.329
0.000 0.500 0.500
0.500 0.500 0.000
0.332 0.082 0.250
0.668 0.918 0.750
```

Properties
The magnetic moment is 0.00 Bohr magnetons per cell. The calculation puts the calculated total energy at -25.494 eV/f.u. Its symmetry is Imma, No. 74. The polymorph energy (0 for the lowest one) is 0.0000 eV/atom. As for the crystal system: orthorhombic.


No. 11
Density functional theory data (PBE) for a geometry-optimized Ac5La6Tb structure.

Structure (POSCAR):
```
Ac5La6Tb
1.0
-2.718 5.397 8.128
2.718 -5.397 8.128
2.718 5.397 -8.128
Ac La Tb
5 6 1
direct
0.000 0.000 0.000
0.167 0.667 0.500
0.338 0.338 0.000
0.662 0.662 0.000
0.833 0.333 0.500
0.088 0.835 0.253
0.254 0.500 0.754
0.418 0.165 0.253
0.582 0.835 0.747
0.746 0.500 0.246
0.912 0.165 0.747
0.500 0.000 0.500
```

Properties
The magnetic moment is 0.00 Bohr magnetons per cell. The calculation puts the calculated total energy at -54.390 eV/f.u. Its symmetry is Immm, No. 71. As for the crystal system: orthorhombic.


No. 12
Density functional theory data (PBE) for a geometry-optimized Ac3La6Tb structure.

Structure (POSCAR):
```
Ac3La6Tb
1.0
5.171 2.985 4.372
-5.171 2.985 4.372
0.000 -5.971 4.372
Ac La Tb
3 6 1
direct
0.000 0.000 0.000
0.257 0.257 0.257
0.514 0.514 0.514
0.005 0.346 0.682
0.169 0.833 0.510
0.346 0.682 0.005
0.510 0.169 0.833
0.682 0.005 0.346
0.833 0.510 0.169
0.757 0.757 0.757
```

Properties
The magnetic moment is 0.00 Bohr magnetons per cell. The calculation puts the calculated total energy at -43.686 eV/f.u. Its symmetry is R3, No. 146. As for the crystal system: trigonal.


| no. | formation enthalpy at 0 K (eV per atom) |
| --- | --- |
| 1 | 0.286 |
| 2 | 0.134 |
| 3 | 0.880 |
| 4 | 0.106 |
| 5 | 0.104 |
| 6 | 0.027 |
| 7 | 0.643 |
| 8 | 0.043 |
| 9 | 0.187 |
| 10 | 0.083 |
| 11 | 0.029 |
| 12 | 0.283 |